Entry 1:
Below is a geometry-optimized Er8Ni2Sn structure, with properties calculated at the GGA-PBE level.

```
Er8Ni2Sn
1.0
4.301 -6.569 0.000
4.301 6.569 0.000
-1.271 0.000 5.094
Er Ni Sn
8 2 1
Direct
0.075 0.332 0.579
0.249 0.751 0.000
0.332 0.075 0.579
0.392 0.392 0.198
0.608 0.608 0.802
0.668 0.925 0.421
0.751 0.249 0.000
0.925 0.668 0.421
0.306 0.694 0.500
0.694 0.306 0.500
0.000 0.000 0.000
```

Computed properties:
Spin magnetization: 0.259 μB/f.u.
Calculated formation energy: -242 meV/atom
DFT total energy: -54.73 eV per cell

---

Entry 2:
Below is a geometry-optimized ErNi12Sn6 structure, with properties calculated at the GGA-PBE level.

```
ErNi12Sn6
1.0
5.419 3.129 3.053
-5.419 3.129 3.053
0.000 -6.258 3.053
Er Ni Sn
1 12 6
Direct
0.000 0.000 0.000
0.102 0.340 0.340
0.111 0.500 0.889
0.111 0.889 0.500
0.340 0.102 0.340
0.340 0.340 0.102
0.500 0.111 0.889
0.500 0.889 0.111
0.660 0.660 0.898
0.660 0.898 0.660
0.889 0.111 0.500
0.889 0.500 0.111
0.898 0.660 0.660
0.269 0.269 0.686
0.269 0.686 0.269
0.314 0.731 0.731
0.686 0.269 0.269
0.731 0.314 0.731
0.731 0.731 0.314
```

Computed properties:
Spin magnetization: 0.000 μB/f.u.
Calculated formation energy: -54 meV/atom
DFT total energy: -98.98 eV per cell

---

Entry 3:
Below is a geometry-optimized Er3Ni6Sn5 structure, with properties calculated at the GGA-PBE level.

```
Er3Ni6Sn5
1.0
-2.190 4.793 6.116
2.190 -4.793 6.116
2.190 4.793 -6.116
Er Ni Sn
3 6 5
Direct
0.000 0.000 0.000
0.311 0.311 0.000
0.689 0.689 0.000
0.160 0.884 0.276
0.326 0.500 0.826
0.392 0.116 0.276
0.608 0.884 0.724
0.674 0.500 0.174
0.840 0.116 0.724
0.011 0.668 0.343
0.325 0.668 0.657
0.500 0.000 0.500
0.675 0.332 0.343
0.989 0.332 0.657
```

Computed properties:
Spin magnetization: 0.000 μB/f.u.
Calculated formation energy: -511 meV/atom
DFT total energy: -75.54 eV per cell

---

Entry 4:
Below is a geometry-optimized Er6NiSn2 structure, with properties calculated at the GGA-PBE level.

```
Er6NiSn2
1.0
6.260 0.000 0.000
0.000 8.129 0.000
-6.133 0.000 9.759
Er Ni Sn
12 2 4
Direct
0.083 0.183 0.450
0.083 0.317 0.950
0.321 0.680 0.453
0.321 0.820 0.953
0.371 0.025 0.255
0.371 0.475 0.755
0.629 0.525 0.245
0.629 0.975 0.745
0.679 0.180 0.047
0.679 0.320 0.547
0.917 0.683 0.050
0.917 0.817 0.550
0.000 0.000 0.000
0.000 0.500 0.500
0.162 0.117 0.748
0.162 0.383 0.248
0.838 0.617 0.752
0.838 0.883 0.252
```

Computed properties:
Spin magnetization: 0.002 μB/f.u.
Calculated formation energy: -399 meV/atom
DFT total energy: -89.51 eV per cell

---

Entry 5:
Below is a geometry-optimized ErNi2Sn structure, with properties calculated at the GGA-PBE level.

```
ErNi2Sn
1.0
3.449 0.000 0.000
0.000 3.975 0.000
0.000 0.000 5.624
Er Ni Sn
1 2 1
Direct
0.000 0.000 0.000
0.500 0.500 0.216
0.500 0.500 0.784
0.500 0.000 0.500
```

Computed properties:
Spin magnetization: 0.000 μB/f.u.
Calculated formation energy: -287 meV/atom
DFT total energy: -21.28 eV per cell

---

Entry 6:
Below is a geometry-optimized Er3Ni2Sn4 structure, with properties calculated at the GGA-PBE level.

```
Er3Ni2Sn4
1.0
5.622 -2.196 0.000
5.622 2.196 0.000
-2.109 0.000 8.208
Er Ni Sn
3 2 4
Direct
0.000 0.000 0.000
0.371 0.371 0.313
0.629 0.629 0.687
0.294 0.294 0.603
0.706 0.706 0.397
0.085 0.085 0.383
0.298 0.298 0.912
0.702 0.702 0.088
0.915 0.915 0.617
```

Computed properties:
Spin magnetization: 0.000 μB/f.u.
Calculated formation energy: -610 meV/atom
DFT total energy: -46.75 eV per cell